Below is a relaxed Sm6Hg2S3 crystal, with properties calculated at the PBE level.

a = 6.946 Å, b = 6.946 Å, c = 7.643 Å
α = 98.98°, β = 98.98°, γ = 119.97°
Atoms (fractional coordinates):
Sm (0.089, 0.414, 0.775)
Sm (0.232, 0.232, 0.213)
Sm (0.414, 0.089, 0.775)
Sm (0.586, 0.911, 0.225)
Sm (0.768, 0.768, 0.787)
Sm (0.911, 0.586, 0.225)
Hg (0.339, 0.661, 0.500)
Hg (0.661, 0.339, 0.500)
S (0.173, 0.827, 0.000)
S (0.500, 0.500, 0.000)
S (0.827, 0.173, 0.000)

Values from the calculation:
Its raw formation energy is -1.19 eV/atom.

---

Below is a relaxed In5Hg3 crystal, with properties calculated at the PBE level.

a = 6.094 Å, b = 8.364 Å, c = 9.479 Å
α = 83.94°, β = 71.33°, γ = 70.74°
Atoms (fractional coordinates):
In (0.000, 0.000, 0.000)
In (0.034, 0.777, 0.672)
In (0.167, 0.327, 0.798)
In (0.342, 0.629, 0.204)
In (0.474, 0.179, 0.330)
In (0.509, 0.956, 0.001)
In (0.546, 0.629, 0.798)
In (0.705, 0.777, 0.330)
In (0.804, 0.179, 0.672)
In (0.963, 0.327, 0.204)
Hg (0.007, 0.478, 0.496)
Hg (0.072, 0.978, 0.364)
Hg (0.436, 0.978, 0.638)
Hg (0.502, 0.478, 0.506)
Hg (0.543, 0.321, 0.001)
Hg (0.966, 0.635, 0.001)

Values from the calculation:
For the energy above the most stable polymorph in this dataset, the calculation gives 5 meV per atom. The formation energy is 21 meV/atom.

---

Below is a relaxed Er4IrPt3 crystal, with properties calculated at the PBE level.

a = 7.690 Å, b = 7.690 Å, c = 7.690 Å
α = 142.97°, β = 142.97°, γ = 53.37°
Atoms (fractional coordinates):
Er (0.124, 0.624, 0.500)
Er (0.376, 0.876, 0.500)
Er (0.624, 0.124, 0.500)
Er (0.876, 0.376, 0.500)
Ir (0.000, 0.000, 0.000)
Pt (0.249, 0.249, 0.000)
Pt (0.500, 0.500, 0.000)
Pt (0.751, 0.751, 0.000)

Values from the calculation:
The formation energy is -1174 meV/atom.

---

no.,total DFT energy (no corrections) (eV/atom),D(E_F) (states/eV per atom)
1,-4.95,0.637
2,-1.80,0.346
3,-6.83,0.494